Entry 1:
Here is crystalline DyHoIrOs at its relaxed geometry from Alexandria. Energies are from PBE.

## Properties
Density = 14.92 Mg/m³
Total moment = 0.00 μB per cell
Formation energy = -45 kJ/mol of atoms

Geometry as CIF:
```
data_DyHoIrOs
_chemical_formula_sum 'Dy1 Ho1 Ir1 Os1'
_space_group_name_H-M_alt 'P 1'
_space_group_IT_number 1
_space_group_name_Hall 'P 1'
_cell_length_a 4.8167
_cell_length_b 4.8167
_cell_length_c 4.8167
_cell_angle_alpha 60.00
_cell_angle_beta 60.00
_cell_angle_gamma 60.00
loop_
_atom_site_label
_atom_site_type_symbol
_atom_site_fract_x
_atom_site_fract_y
_atom_site_fract_z
Ho1 Ho 0.7500 0.7500 0.7500
Dy1 Dy 0.2500 0.2500 0.2500
Os1 Os 0.0000 0.0000 0.0000
Ir1 Ir 0.5000 0.5000 0.5000
```

***

Entry 2:
Here is crystalline NpScGa2 at its relaxed geometry from Alexandria. Energies are from PBE.

## Properties
Density = 8.69 Mg/m³
Total moment = 4.16 μB per cell
Formation energy = -22 kJ/mol of atoms

Geometry as CIF:
```
data_NpScGa2
_chemical_formula_sum 'Np1 Sc1 Ga2'
_space_group_name_H-M_alt 'P 1'
_space_group_IT_number 1
_space_group_name_Hall 'P 1'
_cell_length_a 2.8296
_cell_length_b 5.3354
_cell_length_c 5.3354
_cell_angle_alpha 90.00
_cell_angle_beta 90.00
_cell_angle_gamma 90.00
loop_
_atom_site_label
_atom_site_type_symbol
_atom_site_fract_x
_atom_site_fract_y
_atom_site_fract_z
Ga1 Ga 0.0000 0.5000 0.0000
Sc1 Sc 0.5000 0.5000 0.5000
Np1 Np 0.5000 0.0000 0.0000
Ga2 Ga 0.0000 0.0000 0.5000
```